1.
DFT (GGA-PBE) results for a geometry-optimized PrMgPaO6 structure.

For the density, the calculation gives 6.141 Mg/m³. The energy relative to the elements, uncorrected is -2.629 eV per atom. The crystal system is trigonal.

The space group is P312 (No. 149) and the conventional cell measures 5.6508, 5.6508 and 4.8131 Å, with angles of 90.00, 90.00 and 120.00 degrees. The inequivalent atoms are Pr at (0.0000, 0.0000, 0.0000), Mg at (0.3333, 0.6667, 0.0000), Pa at (0.6667, 0.3333, 0.5000) and O at (0.0010, 0.3685, 0.2428).

***

2.
DFT (GGA-PBE) results for a geometry-optimized KZn2P structure.

For the density, the calculation gives 3.942 Mg/m³. The value obtained for the calculated formation energy is 0.362 eV per atom. The crystal system is tetragonal.

The space group is P4/mmm (No. 123) and the conventional cell measures 4.363, 4.363 and 4.444 Å, with angles of 90.00, 90.00 and 90.00 degrees. The inequivalent atoms are K at (0.000, 0.000, 0.000), Zn at (0.000, 0.500, 0.500) and P at (0.500, 0.500, 0.000).

***

3.
DFT (GGA-PBE) results for a geometry-optimized ZrSb2Au structure.

For the density, the calculation gives 9.016 Mg/m³. The energy relative to the elements, uncorrected is -0.130 eV per atom. The crystal system is trigonal.

The space group is R3m (No. 160, hexagonal axes) and the conventional cell measures 3.6783, 3.6783 and 25.0730 Å, with angles of 90.00, 90.00 and 120.00 degrees. The inequivalent atoms are Zr at (0.0000, 0.0000, 0.0000), Sb at (0.0000, 0.0000, 0.2494), Sb at (0.0000, 0.0000, 0.4880) and Au at (0.0000, 0.0000, 0.7429).